# CaAs2Ir

Crystalline CaAs2Ir at its relaxed geometry (PBEsol, the Alexandria database).

Properties
DFT formation energy ... -0.234 eV/atom
Raw total energy ... -23.103 eV per formula unit
Volume ... 18.04 Å³/atom

a b c (Å): 3.176 3.199 7.102
angles (deg): 90.00 90.00 90.00
Positions (direct):
Ca 0.000 0.000 0.000
As 0.500 0.500 0.295
As 0.500 0.500 0.705
Ir 0.000 0.000 0.500